# CrOsNO2, relaxed, DFT PBE with a Hubbard U
data_CrOsNO2
_chemical_formula_sum 'Cr1 Os1 N1 O2'
_symmetry_space_group_name_H-M 'P 1'
_symmetry_Int_Tables_number 1
_cell_length_a 3.698
_cell_length_b 3.698
_cell_length_c 3.885
_cell_angle_alpha 90.00
_cell_angle_beta 90.00
_cell_angle_gamma 90.00
loop_
_symmetry_equiv_pos_as_xyz
'x,y,z'
loop_
_atom_site_label
_atom_site_fract_x
_atom_site_fract_y
_atom_site_fract_z
_atom_site_occupancy
Cr1 0.000 0.000 0.000 1
Os1 0.500 0.500 0.500 1
O1 0.000 0.500 0.000 1
O2 0.500 0.000 0.000 1
N1 0.000 0.000 0.500 1
# Uncorrected energy, eV/atom: -6.60
# Density of states at the Fermi level, states/eV per cell: 4.41